(1)
13
Lattice="5.650 0.000 0.000 2.493 6.599 0.000 0.583 3.350 7.648" Properties=species:S:1:pos:R:3 comment="Ca3Al2Au8 | Alexandria via LeMat-Bulk | PBE | optimized geometry" energy_ev_per_atom=-3.62 m_tot_mub_per_cell=0.000 crystal_system=triclinic space_group=P-1 pbc="T T T"
Ca 0.000 0.000 0.000
Ca 3.717 3.126 2.767
Ca 5.008 6.823 4.881
Al 2.237 5.121 5.155
Al 6.488 4.828 2.493
Au 0.949 2.388 1.814
Au 2.507 6.627 3.054
Au 3.625 5.669 7.421
Au 5.221 6.825 1.734
Au 3.504 3.124 5.914
Au 5.100 4.280 0.227
Au 6.218 3.322 4.594
Au 7.776 7.561 5.834



(2)
4
Lattice="-1.935 1.935 3.922 1.935 -1.935 3.922 1.935 1.935 -3.922" Properties=species:S:1:pos:R:3 comment="MgIr2Ru | Alexandria via LeMat-Bulk | PBE | optimized geometry" energy_ev_per_atom=-7.22 m_tot_mub_per_cell=0.006 crystal_system=tetragonal space_group=I4/mmm pbc="T T T"
Mg 0.000 0.000 0.000
Ir 1.935 0.000 1.961
Ir 0.000 1.935 1.961
Ru 0.000 0.000 3.922



(3)
10
Lattice="7.369 0.000 0.000 0.000 7.369 0.000 0.000 0.000 3.641" Properties=species:S:1:pos:R:3 comment="GaGe2Au2 | Alexandria via LeMat-Bulk | PBE | optimized geometry" m_tot_mub_per_cell=0.000 de_polymorph_mev_per_atom=14 crystal_system=tetragonal space_group=P4/mbm pbc="T T T"
Ga 0.000 0.000 0.000
Ga 3.684 3.684 0.000
Ge 1.181 2.504 1.820
Ge 2.504 6.188 1.820
Ge 4.865 1.181 1.820
Ge 6.188 4.865 1.820
Au 1.053 4.737 0.000
Au 2.632 1.053 0.000
Au 4.737 6.316 0.000
Au 6.316 2.632 0.000



(4)
6
Lattice="0.000 3.810 3.810 3.810 0.000 3.810 3.810 3.810 0.000" Properties=species:S:1:pos:R:3 comment="ReAg4P | Alexandria via LeMat-Bulk | PBE | optimized geometry" energy_ev_per_atom=-3.86 m_tot_mub_per_cell=3.492 crystal_system=cubic space_group=F-43m pbc="T T T"
Re 0.000 0.000 0.000
Ag 4.764 2.856 2.856
Ag 2.856 4.764 2.856
Ag 2.856 2.856 4.764
Ag 4.764 4.764 4.764
P 1.905 1.905 1.905



| no. | calculated density (Mg/m³) |
| --- | --- |
| 1 | 10.2 |
| 2 | 14.4 |
| 3 | 10.2 |
| 4 | 9.7 |